1.
The following is a DFT calculation (PBEsol) of a relaxed structure of RePtSe2.

Results
Raw total energy   -6.425 eV/atom
Formation energy (no corrections)   0.575 eV per atom
Excess energy over the best structure of this formula in the dataset   23.6 kJ/mol of atoms

Lattice parameters (Å, degrees): 2.826 2.826 9.372 90.00 90.00 118.57
Element x y z (fractional)
Re: 0.500 0.500 0.000
Pt: 0.500 0.500 0.500
Se: 0.000 0.000 0.771
Se: 0.000 0.000 0.229


2.
The following is a DFT calculation (PBEsol) of a relaxed structure of In2Sb.

Results
Raw total energy   -3.514 eV/atom
Formation energy (no corrections)   -0.006 eV per atom

Lattice parameters (Å, degrees): 5.293 5.293 6.447 90.00 90.00 120.00
Element x y z (fractional)
In: 0.000 0.000 0.000
In: 0.667 0.333 0.250
In: 0.000 0.000 0.500
In: 0.333 0.667 0.750
Sb: 0.667 0.333 0.750
Sb: 0.333 0.667 0.250


3.
The following is a DFT calculation (PBEsol) of a relaxed structure of DyNbO4.

Results
Raw total energy   -9.268 eV/atom
Formation energy (no corrections)   -3.135 eV per atom

Lattice parameters (Å, degrees): 5.106 5.300 5.399 90.00 90.00 95.96
Element x y z (fractional)
Nb: 0.000 0.250 0.204
Nb: 0.000 0.750 0.796
O: 0.750 0.094 0.427
O: 0.239 0.519 0.944
O: 0.250 0.406 0.427
O: 0.761 0.981 0.944
O: 0.250 0.906 0.573
O: 0.239 0.019 0.056
O: 0.761 0.481 0.056
O: 0.750 0.594 0.573
Dy: 0.500 0.750 0.259
Dy: 0.500 0.250 0.741


4.
The following is a DFT calculation (PBEsol) of a relaxed structure of CrIr2.

Results
Raw total energy   -10.083 eV/atom
ΔH_f (0 K)   -0.12 eV per atom

Lattice parameters (Å, degrees): 2.685 4.255 7.058 90.00 100.97 90.00
Element x y z (fractional)
Cr: 0.778 0.750 0.556
Cr: 0.222 0.250 0.444
Ir: 0.440 0.750 0.879
Ir: 0.560 0.250 0.121
Ir: 0.880 0.250 0.759
Ir: 0.120 0.750 0.241


5.
The following is a DFT calculation (PBEsol) of a relaxed structure of SrCoW2.

Results
Raw total energy   -8.611 eV/atom
ΔH_f (0 K)   0.69 eV per atom
Excess energy over the best structure of this formula in the dataset   0.0 kJ/mol of atoms

Lattice parameters (Å, degrees): 3.153 3.153 7.557 90.00 90.00 90.00
Element x y z (fractional)
W: 0.500 0.500 0.267
W: 0.000 0.000 0.075
Co: 0.000 0.000 0.420
Sr: 0.500 0.500 0.738


6.
The following is a DFT calculation (PBEsol) of a relaxed structure of BeTlBr2.

Results
Raw total energy   -2.928 eV/atom
Formation energy (no corrections)   -0.335 eV per atom
Excess energy over the best structure of this formula in the dataset   1.3 kJ/mol of atoms

Lattice parameters (Å, degrees): 3.263 3.727 9.904 90.00 90.00 115.96
Element x y z (fractional)
Be: 0.500 0.000 0.000
Br: 0.000 0.000 0.841
Br: 0.000 0.000 0.159
Tl: 0.500 0.000 0.500


7.
The following is a DFT calculation (PBEsol) of a relaxed structure of Cd2ReW.

Results
Raw total energy   -6.754 eV/atom
ΔH_f (0 K)   0.63 eV per atom
Excess energy over the best structure of this formula in the dataset   0.0 kJ/mol of atoms

Lattice parameters (Å, degrees): 3.228 4.786 5.378 116.42 107.46 90.00
Element x y z (fractional)
W: 0.226 0.726 0.451
Cd: 0.994 0.994 0.988
Cd: 0.757 0.257 0.515
Re: 0.523 0.523 0.046


8.
The following is a DFT calculation (PBEsol) of a relaxed structure of Ba2NiN2.

Results
Raw total energy   -5.974 eV/atom
Formation energy (no corrections)   -0.472 eV per atom

Lattice parameters (Å, degrees): 4.069 4.069 6.949 107.02 107.02 90.00
Each line ends with the local moment (μB).
Element x y z (fractional)
Ba: 0.644 0.644 0.289  0.05
Ba: 0.356 0.356 0.711  0.05
N: 0.137 0.137 0.275  0.27
N: 0.863 0.863 0.725  0.27
Ni: 0.000 0.000 0.000  0.92